Entry 1:
A plane-wave DFT calculation with GGA-PBEsol was carried out for a relaxed structure of K2RbDyV2O8.

Cell lengths 5.920, 5.920, 7.604 Å; angles 90.00, 90.00, 120.00 degrees
Sites, in units of the cell vectors:
K 0.333 0.667 0.189
K 0.667 0.333 0.811
Rb 0.000 0.000 0.500
Dy 0.000 0.000 0.000
V 0.333 0.667 0.745
V 0.667 0.333 0.255
O 0.175 0.350 0.825
O 0.175 0.825 0.825
O 0.333 0.667 0.527
O 0.350 0.175 0.175
O 0.650 0.825 0.825
O 0.667 0.333 0.473
O 0.825 0.175 0.175
O 0.825 0.650 0.175

Results
SG: P-3m1 (164)
D(E_F) (states/eV per atom): 0.000
Crystal system: trigonal
Raw formation energy (eV/atom): -2.591

=====

Entry 2:
A plane-wave DFT calculation with GGA-PBEsol was carried out for a relaxed structure of KDyTiO4.

Cell lengths 12.816, 5.445, 5.327 Å; angles 90.00, 90.00, 90.00 degrees
Sites, in units of the cell vectors:
K 0.095 0.022 0.250
K 0.095 0.478 0.750
K 0.905 0.522 0.250
K 0.905 0.978 0.750
Dy 0.399 0.027 0.250
Dy 0.399 0.473 0.750
Dy 0.601 0.527 0.250
Dy 0.601 0.973 0.750
Ti 0.256 0.508 0.250
Ti 0.256 0.992 0.750
Ti 0.744 0.008 0.250
Ti 0.744 0.492 0.750
O 0.120 0.534 0.250
O 0.120 0.966 0.750
O 0.273 0.250 0.000
O 0.273 0.250 0.500
O 0.302 0.750 0.000
O 0.302 0.750 0.500
O 0.439 0.072 0.750
O 0.439 0.428 0.250
O 0.561 0.572 0.750
O 0.561 0.928 0.250
O 0.698 0.250 0.000
O 0.698 0.250 0.500
O 0.727 0.750 0.000
O 0.727 0.750 0.500
O 0.880 0.034 0.250
O 0.880 0.466 0.750

Results
SG: Pbcm (57)
D(E_F) (states/eV per atom): 0.000
Crystal system: orthorhombic
Raw formation energy (eV/atom): -3.049

=====

Entry 3:
A plane-wave DFT calculation with GGA-PBEsol was carried out for a relaxed structure of KDyS2.

Cell lengths 3.988, 3.988, 21.753 Å; angles 90.00, 90.00, 120.00 degrees
Sites, in units of the cell vectors:
K 0.000 0.000 0.000
K 0.333 0.667 0.667
K 0.667 0.333 0.333
Dy 0.000 0.000 0.500
Dy 0.333 0.667 0.167
Dy 0.667 0.333 0.833
S 0.000 0.000 0.234
S 0.000 0.000 0.766
S 0.333 0.667 0.432
S 0.333 0.667 0.901
S 0.667 0.333 0.099
S 0.667 0.333 0.568

Results
SG: R-3m (166)
D(E_F) (states/eV per atom): 0.000
Crystal system: trigonal
Raw formation energy (eV/atom): -1.913

=====

Entry 4:
A plane-wave DFT calculation with GGA-PBEsol was carried out for a relaxed structure of LaDy.

Cell lengths 3.583, 3.583, 5.768 Å; angles 90.00, 90.00, 120.00 degrees
Sites, in units of the cell vectors:
La 0.000 0.000 0.000
Dy 0.667 0.333 0.500

Results
Formation enthalpy at 0 K (meV/atom): 52
SG: P-6m2 (187)
D(E_F) (states/eV per atom): 1.570
Crystal system: hexagonal

=====

Entry 5:
A plane-wave DFT calculation with GGA-PBEsol was carried out for a relaxed structure of LaDyRu2.

Cell lengths 6.830, 6.830, 6.830 Å; angles 90.00, 90.00, 90.00 degrees
Sites, in units of the cell vectors:
La 0.000 0.000 0.000
La 0.000 0.500 0.500
La 0.500 0.000 0.500
La 0.500 0.500 0.000
Dy 0.000 0.000 0.500
Dy 0.000 0.500 0.000
Dy 0.500 0.000 0.000
Dy 0.500 0.500 0.500
Ru 0.250 0.250 0.250
Ru 0.250 0.250 0.750
Ru 0.250 0.750 0.250
Ru 0.250 0.750 0.750
Ru 0.750 0.250 0.250
Ru 0.750 0.250 0.750
Ru 0.750 0.750 0.250
Ru 0.750 0.750 0.750

Results
Formation enthalpy at 0 K (meV/atom): -119
SG: Fm-3m (225)
D(E_F) (states/eV per atom): 0.660
Crystal system: cubic

=====

Entry 6:
A plane-wave DFT calculation with GGA-PBEsol was carried out for a relaxed structure of La4Dy11S22.

Cell lengths 19.524, 19.524, 11.293 Å; angles 91.78, 91.78, 11.57 degrees
Sites, in units of the cell vectors:
La 0.105 0.105 0.011
La 0.367 0.367 0.350
La 0.633 0.633 0.650
La 0.895 0.895 0.989
Dy 0.000 0.000 0.000
Dy 0.071 0.071 0.360
Dy 0.202 0.202 0.940
Dy 0.263 0.263 0.351
Dy 0.342 0.342 0.701
Dy 0.462 0.462 0.269
Dy 0.538 0.538 0.731
Dy 0.658 0.658 0.299
Dy 0.737 0.737 0.649
Dy 0.798 0.798 0.060
Dy 0.929 0.929 0.640
S 0.008 0.008 0.240
S 0.087 0.087 0.754
S 0.136 0.136 0.451
S 0.169 0.169 0.149
S 0.189 0.189 0.690
S 0.254 0.254 0.119
S 0.280 0.280 0.589
S 0.350 0.350 0.094
S 0.407 0.407 0.789
S 0.441 0.441 0.490
S 0.453 0.453 0.030
S 0.547 0.547 0.970
S 0.559 0.559 0.510
S 0.593 0.593 0.211
S 0.650 0.650 0.906
S 0.720 0.720 0.411
S 0.746 0.746 0.881
S 0.811 0.811 0.310
S 0.831 0.831 0.851
S 0.864 0.864 0.549
S 0.913 0.913 0.246
S 0.992 0.992 0.760

Results
SG: C2/m (12)
D(E_F) (states/eV per atom): 0.068
Crystal system: monoclinic
Raw formation energy (eV/atom): -2.174

=====

Entry 7:
A plane-wave DFT calculation with GGA-PBEsol was carried out for a relaxed structure of LiDyO2.

Cell lengths 11.085, 3.348, 5.253 Å; angles 90.00, 90.00, 90.00 degrees
Sites, in units of the cell vectors:
Li 0.068 0.250 0.097
Li 0.432 0.750 0.597
Li 0.568 0.250 0.403
Li 0.932 0.750 0.903
Dy 0.140 0.750 0.548
Dy 0.360 0.250 0.048
Dy 0.640 0.750 0.952
Dy 0.860 0.250 0.452
O 0.025 0.250 0.741
O 0.206 0.250 0.311
O 0.294 0.750 0.811
O 0.475 0.750 0.241
O 0.525 0.250 0.759
O 0.706 0.250 0.189
O 0.794 0.750 0.689
O 0.975 0.750 0.259

Results
SG: Pnma (62)
D(E_F) (states/eV per atom): 0.000
Crystal system: orthorhombic
Raw formation energy (eV/atom): -2.981

=====

Entry 8:
A plane-wave DFT calculation with GGA-PBEsol was carried out for a relaxed structure of LiDyO2.

Cell lengths 6.158, 6.085, 6.252 Å; angles 90.00, 119.52, 90.00 degrees
Sites, in units of the cell vectors:
Li 0.206 0.156 0.432
Li 0.206 0.344 0.932
Li 0.794 0.656 0.068
Li 0.794 0.844 0.568
Dy 0.267 0.631 0.523
Dy 0.267 0.869 0.023
Dy 0.733 0.131 0.977
Dy 0.733 0.369 0.477
O 0.047 0.609 0.736
O 0.047 0.891 0.236
O 0.487 0.175 0.150
O 0.487 0.325 0.650
O 0.513 0.675 0.350
O 0.513 0.825 0.850
O 0.953 0.109 0.764
O 0.953 0.391 0.264

Results
SG: P2_1/c (14)
D(E_F) (states/eV per atom): 0.000
Crystal system: monoclinic
Raw formation energy (eV/atom): -2.973

=====

Entry 9:
A plane-wave DFT calculation with GGA-PBEsol was carried out for a relaxed structure of Li3Dy3Te2O12.

Cell lengths 10.604, 10.604, 10.604 Å; angles 109.47, 109.47, 109.47 degrees
Sites, in units of the cell vectors:
Li 0.125 0.750 0.875
Li 0.125 0.875 0.250
Li 0.250 0.125 0.875
Li 0.250 0.625 0.375
Li 0.375 0.250 0.625
Li 0.375 0.625 0.750
Li 0.625 0.375 0.250
Li 0.625 0.750 0.375
Li 0.750 0.375 0.625
Li 0.750 0.875 0.125
Li 0.875 0.125 0.750
Li 0.875 0.250 0.125
Dy 0.125 0.250 0.375
Dy 0.125 0.375 0.750
Dy 0.250 0.375 0.125
Dy 0.250 0.875 0.625
Dy 0.375 0.125 0.250
Dy 0.375 0.750 0.125
Dy 0.625 0.250 0.875
Dy 0.625 0.875 0.750
Dy 0.750 0.125 0.375
Dy 0.750 0.625 0.875
Dy 0.875 0.625 0.250
Dy 0.875 0.750 0.625
Te 0.000 0.000 0.000
Te 0.000 0.000 0.500
Te 0.000 0.500 0.000
Te 0.000 0.500 0.500
Te 0.500 0.000 0.000
Te 0.500 0.000 0.500
Te 0.500 0.500 0.000
Te 0.500 0.500 0.500
O 0.028 0.201 0.121
O 0.028 0.327 0.907
O 0.080 0.701 0.673
O 0.080 0.879 0.407
O 0.093 0.621 0.420
O 0.093 0.972 0.673
O 0.121 0.028 0.201
O 0.121 0.593 0.920
O 0.173 0.201 0.580
O 0.173 0.472 0.593
O 0.201 0.121 0.028
O 0.201 0.580 0.173
O 0.299 0.327 0.920
O 0.299 0.472 0.379
O 0.327 0.907 0.028
O 0.327 0.920 0.299
O 0.379 0.299 0.472
O 0.379 0.580 0.907
O 0.407 0.080 0.879
O 0.407 0.827 0.528
O 0.420 0.093 0.621
O 0.420 0.827 0.799
O 0.472 0.379 0.299
O 0.472 0.593 0.173
O 0.528 0.407 0.827
O 0.528 0.621 0.701
O 0.580 0.173 0.201
O 0.580 0.907 0.379
O 0.593 0.173 0.472
O 0.593 0.920 0.121
O 0.621 0.420 0.093
O 0.621 0.701 0.528
O 0.673 0.080 0.701
O 0.673 0.093 0.972
O 0.701 0.528 0.621
O 0.701 0.673 0.080
O 0.799 0.420 0.827
O 0.799 0.879 0.972
O 0.827 0.528 0.407
O 0.827 0.799 0.420
O 0.879 0.407 0.080
O 0.879 0.972 0.799
O 0.907 0.028 0.327
O 0.907 0.379 0.580
O 0.920 0.121 0.593
O 0.920 0.299 0.327
O 0.972 0.673 0.093
O 0.972 0.799 0.879

Results
SG: Ia-3d (230)
D(E_F) (states/eV per atom): 0.000
Crystal system: cubic
Raw formation energy (eV/atom): -2.408

=====

Entry 10:
A plane-wave DFT calculation with GGA-PBEsol was carried out for a relaxed structure of LiDyW2O8.

Cell lengths 4.981, 5.796, 10.834 Å; angles 90.00, 113.31, 90.00 degrees
Sites, in units of the cell vectors:
Li 0.000 0.236 0.250
Li 0.000 0.764 0.750
Dy 0.500 0.194 0.750
Dy 0.500 0.806 0.250
W 0.267 0.320 0.017
W 0.267 0.680 0.517
W 0.733 0.320 0.483
W 0.733 0.680 0.983
O 0.147 0.390 0.595
O 0.147 0.610 0.095
O 0.229 0.128 0.138
O 0.229 0.872 0.638
O 0.287 0.124 0.892
O 0.287 0.876 0.392
O 0.351 0.418 0.386
O 0.351 0.582 0.886
O 0.649 0.418 0.114
O 0.649 0.582 0.614
O 0.713 0.124 0.608
O 0.713 0.876 0.108
O 0.771 0.128 0.362
O 0.771 0.872 0.862
O 0.853 0.390 0.905
O 0.853 0.610 0.405

Results
SG: P2/c (13)
D(E_F) (states/eV per atom): 0.000
Crystal system: monoclinic
Raw formation energy (eV/atom): -2.536

=====

Entry 11:
A plane-wave DFT calculation with GGA-PBEsol was carried out for a relaxed structure of LiDy2Pt.

Cell lengths 6.930, 6.930, 6.930 Å; angles 90.00, 90.00, 90.00 degrees
Sites, in units of the cell vectors:
Li 0.000 0.000 0.000
Li 0.000 0.500 0.500
Li 0.500 0.000 0.500
Li 0.500 0.500 0.000
Dy 0.250 0.250 0.250
Dy 0.250 0.250 0.750
Dy 0.250 0.750 0.250
Dy 0.250 0.750 0.750
Dy 0.750 0.250 0.250
Dy 0.750 0.250 0.750
Dy 0.750 0.750 0.250
Dy 0.750 0.750 0.750
Pt 0.000 0.000 0.500
Pt 0.000 0.500 0.000
Pt 0.500 0.000 0.000
Pt 0.500 0.500 0.500

Results
Formation enthalpy at 0 K (meV/atom): -640
SG: Fm-3m (225)
D(E_F) (states/eV per atom): 0.690
Crystal system: cubic

=====

Entry 12:
A plane-wave DFT calculation with GGA-PBEsol was carried out for a relaxed structure of LiDy2Ru.

Cell lengths 6.826, 6.826, 6.826 Å; angles 90.00, 90.00, 90.00 degrees
Sites, in units of the cell vectors:
Li 0.000 0.000 0.000
Li 0.000 0.500 0.500
Li 0.500 0.000 0.500
Li 0.500 0.500 0.000
Dy 0.250 0.250 0.250
Dy 0.250 0.250 0.750
Dy 0.250 0.750 0.250
Dy 0.250 0.750 0.750
Dy 0.750 0.250 0.250
Dy 0.750 0.250 0.750
Dy 0.750 0.750 0.250
Dy 0.750 0.750 0.750
Ru 0.000 0.000 0.500
Ru 0.000 0.500 0.000
Ru 0.500 0.000 0.000
Ru 0.500 0.500 0.500

Results
Formation enthalpy at 0 K (meV/atom): -245
SG: Fm-3m (225)
D(E_F) (states/eV per atom): 0.559
Crystal system: cubic